The following is a PBE calculation of KTe2 after structural relaxation, from the Alexandria database.

Cell lengths 9.237, 9.237, 7.473 Å; angles 86.92, 86.92, 21.87 degrees
Sites, in units of the cell vectors:
K: 0.386 0.386 0.751
K: 0.614 0.614 0.249
Te: 0.061 0.061 0.662
Te: 0.811 0.811 0.138
Te: 0.939 0.939 0.338
Te: 0.189 0.189 0.862

Values from the calculation:
- N(E_F): 0.51 states/eV/cell
- E above lowest polymorph: 0.0835 eV per atom

---

The following is a PBE calculation of KTe after structural relaxation, from the Alexandria database.

Cell lengths 5.715, 9.019, 13.271 Å; angles 90.00, 90.00, 90.00 degrees
Sites, in units of the cell vectors:
K: 0.421 0.549 0.444
K: 0.921 0.951 0.556
K: 0.579 0.049 0.056
K: 0.079 0.451 0.944
K: 0.908 0.240 0.304
K: 0.408 0.260 0.696
K: 0.092 0.740 0.196
K: 0.592 0.760 0.804
Te: 0.906 0.383 0.558
Te: 0.406 0.117 0.442
Te: 0.094 0.883 0.942
Te: 0.594 0.617 0.058
Te: 0.590 0.890 0.316
Te: 0.090 0.610 0.684
Te: 0.410 0.390 0.184
Te: 0.910 0.110 0.816

---

Sequential uncorrected energy output: -2.938, -2.927 eV per atom
Sequential uncorrected formation energy output: -0.477, -0.808 eV per atom